(1)
# CdGaB

A geometry-optimized CdGaB structure (PBE, Alexandria via LeMat-Bulk).

Cell and atoms, written as POSCAR:
```
CdGaB
1.0
-1.3825 3.4795 0.9057
-3.5868 -1.2676 -0.6054
-0.4226 -1.8019 6.2771
B Ga Cd
2 2 2
Direct
0.0000 0.0000 0.5000 B
0.5000 0.5000 0.5000 B
0.0000 0.5000 0.3245 Ga
0.5000 0.0000 0.6755 Ga
0.0000 0.5000 0.8862 Cd
0.5000 0.0000 0.1138 Cd
```

Theoretical density (g/cm3): 6.60
Space group: P4/nmm
Electronic total energy (eV per atom): -2.7953
Size of the total moment (μB/f.u.): 0.0
DOS(E_F) (states/eV/f.u.): 0.78
ΔH_f (0 K) (eV/atom): 0.74


(2)
# Ti2FeGeCl

A geometry-optimized Ti2FeGeCl structure (PBE, Alexandria via LeMat-Bulk).

Cell and atoms, written as POSCAR:
```
Ti2FeGeCl
1.0
-1.2907 3.7216 -2.5993
-3.1802 0.6283 2.4787
2.6608 2.8097 2.7016
Ge Cl Fe Ti
1 1 1 2
Direct
0.5000 0.5000 0.5000 Ge
0.0000 0.5000 0.0000 Cl
0.0000 0.0000 0.0000 Fe
0.0000 0.0000 0.5000 Ti
0.5000 0.0000 0.0000 Ti
```

Theoretical density (g/cm3): 4.74
Space group: P4/mmm
Electronic total energy (eV per atom): -5.7784
E_form (uncorrected) (kJ/mol of atoms): 35.2
Size of the total moment (μB/f.u.): 0.0
DOS(E_F) (states/eV/f.u.): 5.85


(3)
# Hf2GeI4

A geometry-optimized Hf2GeI4 structure (PBE, Alexandria via LeMat-Bulk).

Cell and atoms, written as POSCAR:
```
Hf2GeI4
1.0
-2.1522 4.3465 3.4101
-5.3908 -2.4527 -0.2761
-2.2991 -2.9536 7.4679
I Ge Hf
4 1 2
Direct
0.7901 0.7901 0.4198 I
0.2099 0.2099 0.5802 I
0.0000 0.5000 0.0000 I
0.5000 0.0000 0.0000 I
0.0000 0.0000 0.0000 Ge
0.5892 0.5892 0.8215 Hf
0.4108 0.4108 0.1785 Hf
```

Theoretical density (g/cm3): 6.13
Space group: I4/mmm
Electronic total energy (eV per atom): -3.9515
E_form (uncorrected) (kJ/mol of atoms): 42.2
Size of the total moment (μB/f.u.): 0.0
DOS(E_F) (states/eV/f.u.): 6.87


(4)
# Ce3HoRu3

A geometry-optimized Ce3HoRu3 structure (PBE, Alexandria via LeMat-Bulk).

Cell and atoms, written as POSCAR:
```
Ce3HoRu3
1.0
-0.0024 -5.4549 4.1265
6.1853 2.8071 0.8038
-2.5402 4.1038 5.4738
Ce Ho Ru
6 2 6
Direct
0.6290 0.6290 0.3589 Ce
0.1817 0.8183 0.5000 Ce
0.8183 0.1817 0.5000 Ce
0.2559 0.7441 0.0000 Ce
0.7441 0.2559 0.0000 Ce
0.3710 0.3710 0.6411 Ce
0.7683 0.7683 0.8674 Ho
0.2317 0.2317 0.1326 Ho
0.8969 0.8969 0.2228 Ru
0.9331 0.4476 0.7357 Ru
0.4476 0.9331 0.7357 Ru
0.0669 0.5524 0.2643 Ru
0.5524 0.0669 0.2643 Ru
0.1031 0.1031 0.7772 Ru
```

Theoretical density (g/cm3): 8.94
Space group: C2/m
Electronic total energy (eV per atom): -7.4621
Size of the total moment (μB/f.u.): 0.3
DOS(E_F) (states/eV/f.u.): 8.46
ΔH_f (0 K) (eV/atom): -0.29